1.
Computed, not measured: a geometry-optimized PrHo5Hg4 structure at the PBE-GGA level of DFT.

Cell lengths 3.6856, 3.6856, 19.9838 Å; angles 90.00, 90.00, 90.00 degrees
Last column: nearest neighbours and their distance in Å.
Fractional positions:
1 Pr 0.0000 0.0000 0.0000  8 Ho 3.63, 4 Pr 3.69
2 Ho 0.5000 0.5000 0.1264  4 Hg 3.19
3 Ho 0.5000 0.5000 0.3137  8 Hg 3.18-3.23
4 Ho 0.5000 0.5000 0.5000  8 Hg 3.22
5 Ho 0.5000 0.5000 0.6863  8 Hg 3.18-3.23
6 Ho 0.5000 0.5000 0.8736  4 Hg 3.19
7 Hg 0.0000 0.0000 0.2181  8 Ho 3.19-3.23
8 Hg 0.0000 0.0000 0.4053  8 Ho 3.18-3.22
9 Hg 0.0000 0.0000 0.5947  8 Ho 3.18-3.22
10 Hg 0.0000 0.0000 0.7819  8 Ho 3.19-3.23

Computed properties:
Energy ... -32.7 eV/cell


2.
Computed, not measured: a geometry-optimized PrHo3Hg structure at the PBE-GGA level of DFT.

Cell lengths 6.7473, 6.7473, 7.9659 Å; angles 107.52, 107.52, 66.01 degrees
Last column: nearest neighbours and their distance in Å.
Fractional positions:
1 Pr 0.0562 0.0562 0.2343  2 Hg 3.44-3.50, 1 Pr 3.48, 8 Ho 3.49-3.68
2 Pr 0.9438 0.9438 0.7657  2 Hg 3.44-3.50, 1 Pr 3.48, 8 Ho 3.49-3.68
3 Ho 0.0904 0.5881 0.3586  2 Hg 3.24, 5 Ho 3.47-3.53, 3 Pr 3.49-3.55
4 Ho 0.4119 0.9096 0.6414  2 Hg 3.24, 5 Ho 3.47-3.53, 3 Pr 3.49-3.55
5 Ho 0.4388 0.4388 0.7552  2 Hg 3.22-3.23, 6 Ho 3.47-3.48
6 Ho 0.5612 0.5612 0.2448  2 Hg 3.22-3.23, 6 Ho 3.47-3.48
7 Ho 0.5881 0.0904 0.3586  2 Hg 3.24, 5 Ho 3.47-3.53, 3 Pr 3.49-3.55
8 Ho 0.9096 0.4119 0.6414  2 Hg 3.24, 5 Ho 3.47-3.53, 3 Pr 3.49-3.55
9 Hg 0.2648 0.2648 0.9997  6 Ho 3.22-3.24, 2 Pr 3.44-3.50
10 Hg 0.7352 0.7352 0.0003  6 Ho 3.22-3.24, 2 Pr 3.44-3.50

Computed properties:
Energy ... -38.7 eV/cell


3.
Computed, not measured: a geometry-optimized PrHoHg2 structure at the PBE-GGA level of DFT.

Cell lengths 3.7397, 3.7397, 7.7557 Å; angles 90.00, 90.00, 90.00 degrees
Last column: nearest neighbours and their distance in Å.
Fractional positions:
1 Pr 0.0000 0.0000 0.0000  8 Hg 3.38, 4 Pr 3.74
2 Ho 0.0000 0.0000 0.5000  8 Hg 3.18
3 Hg 0.5000 0.5000 0.2724  4 Ho 3.18, 4 Pr 3.38, 1 Hg 3.53
4 Hg 0.5000 0.5000 0.7276  4 Ho 3.18, 4 Pr 3.38, 1 Hg 3.53

Computed properties:
Energy ... -11.9 eV/cell


4.
Computed, not measured: a geometry-optimized PrHo2Hg6 structure at the PBE-GGA level of DFT.

Cell lengths 8.6474, 8.6474, 3.4530 Å; angles 90.00, 90.00, 120.00 degrees
Last column: nearest neighbours and their distance in Å.
Fractional positions:
1 Pr 0.0000 0.0000 0.0000  12 Hg 3.38, 2 Pr 3.45
2 Ho 0.3333 0.6667 0.0000  12 Hg 3.35, 2 Ho 3.45
3 Ho 0.6667 0.3333 0.0000  12 Hg 3.35, 2 Ho 3.45
4 Hg 0.0000 0.3362 0.5000  3 Hg 2.83-2.91
5 Hg 0.0000 0.6638 0.5000  3 Hg 2.83-2.91
6 Hg 0.3362 0.0000 0.5000  3 Hg 2.83-2.91
7 Hg 0.3362 0.3362 0.5000  3 Hg 2.83-2.91
8 Hg 0.6638 0.0000 0.5000  3 Hg 2.83-2.91
9 Hg 0.6638 0.6638 0.5000  3 Hg 2.83-2.91

Computed properties:
Excess energy over the best structure of this formula in the dataset ... 0.0 meV/atom
Energy ... -19.3 eV/cell


5.
Computed, not measured: a geometry-optimized Pr3Ho4Hg structure at the PBE-GGA level of DFT.

Cell lengths 3.6302, 3.6302, 19.1509 Å; angles 90.00, 90.00, 90.00 degrees
Last column: nearest neighbours and their distance in Å.
Fractional positions:
1 Pr 0.0000 0.0000 0.0000  8 Ho 3.62, 4 Pr 3.63
2 Pr 0.0000 0.0000 0.2659  8 Ho 3.61, 4 Pr 3.63
3 Pr 0.0000 0.0000 0.7341  8 Ho 3.61, 4 Pr 3.63
4 Ho 0.5000 0.5000 0.1331  8 Pr 3.61-3.62, 4 Ho 3.63
5 Ho 0.5000 0.5000 0.3985  4 Hg 3.22
6 Ho 0.5000 0.5000 0.6015  4 Hg 3.22
7 Ho 0.5000 0.5000 0.8669  8 Pr 3.61-3.62, 4 Ho 3.63
8 Hg 0.0000 0.0000 0.5000  8 Ho 3.22

Computed properties:
Energy ... -33.8 eV/cell


6.
Computed, not measured: a geometry-optimized PrHoHgPt structure at the PBE-GGA level of DFT.

Cell lengths 5.1878, 5.1878, 5.1878 Å; angles 60.00, 60.00, 60.00 degrees
Last column: nearest neighbours and their distance in Å.
Fractional positions:
1 Pr 0.0000 0.0000 0.0000  4 Hg 3.18, 4 Pt 3.18
2 Ho 0.5000 0.5000 0.5000  4 Hg 3.18, 4 Pt 3.18
3 Hg 0.7500 0.7500 0.7500  4 Ho 3.18, 4 Pr 3.18
4 Pt 0.2500 0.2500 0.2500  4 Ho 3.18, 4 Pr 3.18

Computed properties:
Energy ... -18.7 eV/cell


7.
Computed, not measured: a geometry-optimized PrHoHgRh structure at the PBE-GGA level of DFT.

Cell lengths 5.1490, 5.1490, 5.1490 Å; angles 60.00, 60.00, 60.00 degrees
Last column: nearest neighbours and their distance in Å.
Fractional positions:
1 Pr 0.0000 0.0000 0.0000  4 Hg 3.15, 4 Rh 3.15
2 Ho 0.5000 0.5000 0.5000  4 Hg 3.15, 4 Rh 3.15
3 Hg 0.7500 0.7500 0.7500  4 Pr 3.15, 4 Ho 3.15
4 Rh 0.2500 0.2500 0.2500  4 Ho 3.15, 4 Pr 3.15

Computed properties:
Energy ... -19.2 eV/cell


8.
Computed, not measured: a geometry-optimized PrSmHo2Hg4 structure at the PBE-GGA level of DFT.

Cell lengths 9.2467, 9.2467, 9.2467 Å; angles 33.52, 33.52, 33.52 degrees
Last column: nearest neighbours and their distance in Å.
Fractional positions:
1 Pr 0.0000 0.0000 0.0000  8 Hg 3.28-3.31
2 Sm 0.5000 0.5000 0.5000  8 Hg 3.23-3.25
3 Ho 0.2497 0.2497 0.2497  8 Hg 3.23-3.32
4 Ho 0.7503 0.7503 0.7503  8 Hg 3.23-3.32
5 Hg 0.1264 0.1264 0.1264  4 Ho 3.23-3.28, 3 Sm 3.25, 1 Pr 3.31
6 Hg 0.3765 0.3765 0.3765  1 Sm 3.23, 4 Ho 3.26-3.32, 3 Pr 3.28
7 Hg 0.6235 0.6235 0.6235  1 Sm 3.23, 4 Ho 3.26-3.32, 3 Pr 3.28
8 Hg 0.8736 0.8736 0.8736  4 Ho 3.23-3.28, 3 Sm 3.25, 1 Pr 3.31

Computed properties:
Energy ... -23.6 eV/cell


9.
Computed, not measured: a geometry-optimized PrSmHoHg structure at the PBE-GGA level of DFT.

Cell lengths 5.5152, 5.5152, 5.5152 Å; angles 60.00, 60.00, 60.00 degrees
Last column: nearest neighbours and their distance in Å.
Fractional positions:
1 Pr 0.0000 0.0000 0.0000  4 Hg 3.38, 4 Ho 3.38
2 Sm 0.5000 0.5000 0.5000  4 Hg 3.38, 4 Ho 3.38
3 Ho 0.2500 0.2500 0.2500  4 Sm 3.38, 4 Pr 3.38
4 Hg 0.7500 0.7500 0.7500  4 Sm 3.38, 4 Pr 3.38

Computed properties:
Excess energy over the best structure of this formula in the dataset ... 161.9 meV/atom
Energy ... -14.7 eV/cell


10.
Computed, not measured: a geometry-optimized PrSmHoHg structure at the PBE-GGA level of DFT.

Cell lengths 3.6940, 3.6940, 8.8992 Å; angles 90.00, 90.00, 90.00 degrees
Last column: nearest neighbours and their distance in Å.
Fractional positions:
1 Pr 0.0000 0.0000 0.0000  4 Ho 3.61, 4 Sm 3.66, 4 Pr 3.69
2 Sm 0.5000 0.5000 0.7123  4 Hg 3.31, 4 Pr 3.66, 4 Sm 3.69
3 Ho 0.5000 0.5000 0.2806  4 Hg 3.18
4 Hg 0.0000 0.0000 0.4837  4 Ho 3.18, 4 Sm 3.31

Computed properties:
Excess energy over the best structure of this formula in the dataset ... 0.0 meV/atom
Energy ... -15.3 eV/cell


11.
Computed, not measured: a geometry-optimized TbPrHoHg structure at the PBE-GGA level of DFT.

Cell lengths 3.6679, 3.6679, 8.8748 Å; angles 90.00, 90.00, 90.00 degrees
Last column: nearest neighbours and their distance in Å.
Fractional positions:
1 Tb 0.0000 0.0000 0.0000  4 Hg 3.24
2 Pr 0.5000 0.5000 0.2864  4 Ho 3.62, 4 Tb 3.63, 4 Pr 3.67
3 Ho 0.0000 0.0000 0.5706  4 Hg 3.19
4 Hg 0.5000 0.5000 0.7808  4 Ho 3.19, 4 Tb 3.24

Computed properties:
Excess energy over the best structure of this formula in the dataset ... 0.0 meV/atom
Energy ... -15.2 eV/cell


12.
Computed, not measured: a geometry-optimized TbPrHoHg structure at the PBE-GGA level of DFT.

Cell lengths 5.4838, 5.4838, 5.4838 Å; angles 60.00, 60.00, 60.00 degrees
Last column: nearest neighbours and their distance in Å.
Fractional positions:
1 Tb 0.0000 0.0000 0.0000  4 Hg 3.36, 4 Ho 3.36
2 Pr 0.5000 0.5000 0.5000  4 Hg 3.36, 4 Ho 3.36
3 Ho 0.2500 0.2500 0.2500  4 Pr 3.36, 4 Tb 3.36
4 Hg 0.7500 0.7500 0.7500  4 Pr 3.36, 4 Tb 3.36

Computed properties:
Excess energy over the best structure of this formula in the dataset ... 171.1 meV/atom
Energy ... -14.5 eV/cell


13.
Computed, not measured: a geometry-optimized TbPrHo2Hg4 structure at the PBE-GGA level of DFT.

Cell lengths 9.2352, 9.2352, 9.2352 Å; angles 33.36, 33.36, 33.36 degrees
Last column: nearest neighbours and their distance in Å.
Fractional positions:
1 Tb 0.0000 0.0000 0.0000  8 Hg 3.19-3.23
2 Pr 0.5000 0.5000 0.5000  8 Hg 3.28-3.33
3 Ho 0.2506 0.2506 0.2506  8 Hg 3.19-3.36
4 Ho 0.7494 0.7494 0.7494  8 Hg 3.19-3.36
5 Hg 0.1220 0.1220 0.1220  1 Tb 3.19, 4 Ho 3.23-3.36, 3 Pr 3.28
6 Hg 0.3727 0.3727 0.3727  4 Ho 3.19-3.26, 3 Tb 3.23, 1 Pr 3.33
7 Hg 0.6273 0.6273 0.6273  4 Ho 3.19-3.26, 3 Tb 3.23, 1 Pr 3.33
8 Hg 0.8780 0.8780 0.8780  1 Tb 3.19, 4 Ho 3.23-3.36, 3 Pr 3.28

Computed properties:
Energy ... -23.5 eV/cell


14.
Computed, not measured: a geometry-optimized PrHoTm2Hg4 structure at the PBE-GGA level of DFT.

Cell lengths 9.1967, 9.1967, 9.1967 Å; angles 33.27, 33.27, 33.27 degrees
Last column: nearest neighbours and their distance in Å.
Fractional positions:
1 Pr 0.0000 0.0000 0.0000  8 Hg 3.26-3.32
2 Ho 0.5000 0.5000 0.5000  8 Hg 3.16-3.21
3 Tm 0.2489 0.2489 0.2489  8 Hg 3.16-3.38
4 Tm 0.7511 0.7511 0.7511  8 Hg 3.16-3.38
5 Hg 0.1275 0.1275 0.1275  4 Tm 3.16-3.24, 3 Ho 3.21, 1 Pr 3.32
6 Hg 0.3786 0.3786 0.3786  1 Ho 3.16, 4 Tm 3.21-3.38, 3 Pr 3.26
7 Hg 0.6214 0.6214 0.6214  1 Ho 3.16, 4 Tm 3.21-3.38, 3 Pr 3.26
8 Hg 0.8725 0.8725 0.8725  4 Tm 3.16-3.24, 3 Ho 3.21, 1 Pr 3.32

Computed properties:
Energy ... -23.2 eV/cell


15.
Computed, not measured: a geometry-optimized PrHoZnHg structure at the PBE-GGA level of DFT.

Cell lengths 5.2665, 5.2665, 5.2665 Å; angles 60.00, 60.00, 60.00 degrees
Last column: nearest neighbours and their distance in Å.
Fractional positions:
1 Pr 0.0000 0.0000 0.0000  4 Hg 3.23, 4 Zn 3.23
2 Ho 0.5000 0.5000 0.5000  4 Hg 3.23, 4 Zn 3.23
3 Zn 0.7500 0.7500 0.7500  4 Pr 3.23, 4 Ho 3.23
4 Hg 0.2500 0.2500 0.2500  4 Ho 3.23, 4 Pr 3.23

Computed properties:
Excess energy over the best structure of this formula in the dataset ... 34.1 meV/atom
Energy ... -12.4 eV/cell


16.
Computed, not measured: a geometry-optimized PrHoZnHg structure at the PBE-GGA level of DFT.

Cell lengths 3.6581, 3.6581, 7.6098 Å; angles 90.00, 90.00, 90.00 degrees
Last column: nearest neighbours and their distance in Å.
Fractional positions:
1 Pr 0.0000 0.0000 0.0000  4 Zn 3.22, 4 Hg 3.40, 1 Ho 3.55
2 Ho 0.0000 0.0000 0.4669  4 Zn 3.06, 4 Hg 3.18
3 Zn 0.5000 0.5000 0.2531  4 Ho 3.06, 4 Pr 3.22
4 Hg 0.5000 0.5000 0.7094  4 Ho 3.18, 4 Pr 3.40, 1 Zn 3.47

Computed properties:
Excess energy over the best structure of this formula in the dataset ... 0.0 meV/atom
Energy ... -12.5 eV/cell


17.
Computed, not measured: a geometry-optimized Ho3Hg3Pt2 structure at the PBE-GGA level of DFT.

Cell lengths 7.6823, 7.6823, 3.5943 Å; angles 90.00, 90.00, 120.00 degrees
Last column: nearest neighbours and their distance in Å.
Fractional positions:
1 Ho 0.0000 0.5793 0.0000  4 Pt 2.92, 2 Hg 3.23
2 Ho 0.4207 0.4207 0.0000  4 Pt 2.92, 2 Hg 3.23
3 Ho 0.5793 0.0000 0.0000  4 Pt 2.92, 2 Hg 3.23
4 Hg 0.0000 0.2294 0.5000  2 Pt 3.04, 2 Hg 3.05, 6 Ho 3.23-3.33
5 Hg 0.2294 0.0000 0.5000  2 Pt 3.04, 2 Hg 3.05, 6 Ho 3.23-3.33
6 Hg 0.7706 0.7706 0.5000  2 Pt 3.04, 2 Hg 3.05, 6 Ho 3.23-3.33
7 Pt 0.3333 0.6667 0.5000  6 Ho 2.92, 3 Hg 3.04
8 Pt 0.6667 0.3333 0.5000  6 Ho 2.92, 3 Hg 3.04

Computed properties:
Energy ... -33.5 eV/cell


18.
Computed, not measured: a geometry-optimized Ho6HgPt2 structure at the PBE-GGA level of DFT.

Cell lengths 8.4916, 8.4916, 8.4916 Å; angles 113.17, 110.50, 104.86 degrees
Last column: nearest neighbours and their distance in Å.
Fractional positions:
1 Ho 0.0391 0.2378 0.8014  1 Pt 2.82, 1 Hg 3.12
2 Ho 0.1815 0.2885 0.4700  3 Pt 3.00-3.11, 1 Hg 3.22
3 Ho 0.1815 0.7115 0.8929  3 Pt 3.00-3.11, 1 Hg 3.22
4 Ho 0.3313 0.0309 0.6996  3 Pt 2.75-2.98
5 Ho 0.3313 0.6317 0.3004  3 Pt 2.75-2.98
6 Ho 0.4364 0.2378 0.1986  1 Pt 2.82, 1 Hg 3.12
7 Ho 0.5636 0.7622 0.8014  1 Pt 2.82, 1 Hg 3.12
8 Ho 0.6687 0.3683 0.6996  3 Pt 2.75-2.98
9 Ho 0.6687 0.9691 0.3004  3 Pt 2.75-2.98
10 Ho 0.8185 0.2885 0.1071  3 Pt 3.00-3.11, 1 Hg 3.22
11 Ho 0.8185 0.7115 0.5300  3 Pt 3.00-3.11, 1 Hg 3.22
12 Ho 0.9609 0.7622 0.1986  1 Pt 2.82, 1 Hg 3.12
13 Hg 0.0000 0.0000 0.0000  8 Ho 3.12-3.22, 2 Pt 3.30
14 Hg 0.5000 0.5000 0.0000  12 Ho 3.31-3.66
15 Pt 0.1357 0.6357 0.5000  6 Ho 2.75-3.00, 1 Pt 2.81
16 Pt 0.3411 0.0000 0.3411  8 Ho 2.82-3.11, 1 Pt 3.08
17 Pt 0.6589 0.0000 0.6589  8 Ho 2.82-3.11, 1 Pt 3.08
18 Pt 0.8643 0.3643 0.5000  6 Ho 2.75-3.00, 1 Pt 2.81

Computed properties:
Energy ... -92.9 eV/cell


19.
Computed, not measured: a geometry-optimized Ho4HgPt structure at the PBE-GGA level of DFT.

Cell lengths 9.5960, 9.5960, 9.5960 Å; angles 60.00, 60.00, 60.00 degrees
Last column: nearest neighbours and their distance in Å.
Fractional positions:
1 Ho 0.1863 0.1863 0.8137  2 Hg 3.15, 2 Ho 3.48, 2 Pt 3.48
2 Ho 0.1863 0.8137 0.1863  2 Hg 3.15, 2 Ho 3.48, 2 Pt 3.48
3 Ho 0.1863 0.8137 0.8137  2 Hg 3.15, 2 Ho 3.48, 2 Pt 3.48
4 Ho 0.3948 0.3948 0.3948  3 Pt 2.86
5 Ho 0.3948 0.3948 0.8155  3 Pt 2.86
6 Ho 0.3948 0.8155 0.3948  3 Pt 2.86
7 Ho 0.5604 0.5604 0.9396  2 Pt 2.84
8 Ho 0.5604 0.9396 0.5604  2 Pt 2.84
9 Ho 0.5604 0.9396 0.9396  2 Pt 2.84
10 Ho 0.8137 0.1863 0.1863  2 Hg 3.15, 2 Ho 3.48, 2 Pt 3.48
11 Ho 0.8137 0.1863 0.8137  2 Hg 3.15, 2 Ho 3.48, 2 Pt 3.48
12 Ho 0.8137 0.8137 0.1863  2 Hg 3.15, 2 Ho 3.48, 2 Pt 3.48
13 Ho 0.8155 0.3948 0.3948  3 Pt 2.86
14 Ho 0.9396 0.5604 0.5604  2 Pt 2.84
15 Ho 0.9396 0.5604 0.9396  2 Pt 2.84
16 Ho 0.9396 0.9396 0.5604  2 Pt 2.84
17 Hg 0.1632 0.1632 0.1632  9 Ho 3.15-3.46, 3 Hg 3.33
18 Hg 0.1632 0.1632 0.5103  9 Ho 3.15-3.46, 3 Hg 3.33
19 Hg 0.1632 0.5103 0.1632  9 Ho 3.15-3.46, 3 Hg 3.33
20 Hg 0.5103 0.1632 0.1632  9 Ho 3.15-3.46, 3 Hg 3.33
21 Pt 0.1828 0.6057 0.6057  6 Ho 2.84-2.86
22 Pt 0.6057 0.1828 0.6057  6 Ho 2.84-2.86
23 Pt 0.6057 0.6057 0.1828  6 Ho 2.84-2.86
24 Pt 0.6057 0.6057 0.6057  6 Ho 2.84-2.86

Computed properties:
Excess energy over the best structure of this formula in the dataset ... 0.0 meV/atom
Energy ... -114.8 eV/cell


20.
Computed, not measured: a geometry-optimized Ho2HgPt9 structure at the PBE-GGA level of DFT.

Cell lengths 4.0942, 4.0942, 12.3154 Å; angles 90.00, 90.00, 90.00 degrees
Last column: nearest neighbours and their distance in Å.
Fractional positions:
1 Ho 0.0000 0.0000 0.1681  12 Pt 2.89-2.91
2 Ho 0.0000 0.0000 0.8319  12 Pt 2.89-2.91
3 Hg 0.0000 0.0000 0.5000  12 Pt 2.90
4 Pt 0.0000 0.5000 0.0000  8 Pt 2.90, 4 Ho 2.91
5 Pt 0.0000 0.5000 0.3336  2 Ho 2.89, 8 Pt 2.90, 2 Hg 2.90
6 Pt 0.0000 0.5000 0.6664  2 Ho 2.89, 8 Pt 2.90, 2 Hg 2.90
7 Pt 0.5000 0.0000 0.0000  8 Pt 2.90, 4 Ho 2.91
8 Pt 0.5000 0.0000 0.3336  2 Ho 2.89, 8 Pt 2.90, 2 Hg 2.90
9 Pt 0.5000 0.0000 0.6664  2 Ho 2.89, 8 Pt 2.90, 2 Hg 2.90
10 Pt 0.5000 0.5000 0.1671  4 Ho 2.90, 8 Pt 2.90
11 Pt 0.5000 0.5000 0.5000  4 Hg 2.90, 8 Pt 2.90
12 Pt 0.5000 0.5000 0.8329  4 Ho 2.90, 8 Pt 2.90

Computed properties:
Energy ... -72.1 eV/cell